(w)
La3MgOs: optimized geometry, PBE.

Values from the calculation:
**DOS(E_F)**: 0.729 states/eV/atom
**Space group**: Pnma (62)

Structure (extended XYZ):
```
20
Lattice="-1.518 6.248 2.528 -3.550 -4.152 8.129 7.900 0.434 3.671" Properties=species:S:1:pos:R:3 pbc="T T T"
La 1.262 -0.126 11.706
Os -0.759 3.124 1.264
Mg 0.898 -1.364 8.545
Mg 6.609 0.985 6.339
La -0.640 2.081 9.633
La 4.312 -1.535 7.578
Mg 1.935 3.894 5.783
La 1.570 2.656 2.622
La -2.413 -1.182 7.192
La -1.480 4.065 6.750
Os 3.950 0.217 1.836
Os 2.175 -1.859 5.900
Mg -3.776 1.545 7.989
La 3.472 0.449 4.695
La 2.886 -3.203 10.844
La 0.144 0.988 5.887
La 5.246 3.712 7.136
La 2.688 1.542 8.441
La -0.054 5.732 3.484
Os -2.534 1.048 5.328
```

(x)
La3MgOs: optimized geometry, PBE.

Values from the calculation:
**DOS(E_F)**: 0.727 states/eV/atom
**Space group**: C2/m (12)

Structure (extended XYZ):
```
10
Lattice="23.284 0.000 -0.265 8.874 2.421 -2.833 -8.874 2.421 2.833" Properties=species:S:1:pos:R:3 pbc="T T T"
Mg -4.969 2.421 2.753
Mg 28.253 2.421 -3.018
La 13.294 2.421 0.516
La 5.910 2.421 0.762
Os 20.023 2.421 -1.820
La -1.845 2.421 0.835
La 25.128 2.421 -1.099
La 17.374 2.421 -1.027
Os 3.261 2.421 1.555
La 9.990 2.421 -0.780
```

Top of the stability list: (w), leading by 0.042 eV/atom.

(w)
La3MgOs: optimized geometry, PBE.

Values from the calculation:
**DOS(E_F)**: 0.795 states/eV/atom
**Space group**: Pm-3m (221)

Structure (extended XYZ):
```
5
Lattice="-4.207 -3.473 -1.379 3.502 -2.940 -3.279 1.304 -3.310 4.359" Properties=species:S:1:pos:R:3 pbc="T T T"
Os 0.000 0.000 0.000
La -2.103 -1.736 -0.690
Mg 0.299 -4.861 -0.150
La 1.751 -1.470 -1.640
La 0.652 -1.655 2.180
```

(x)
La3MgOs: optimized geometry, PBE.

Values from the calculation:
**DOS(E_F)**: 0.480 states/eV/atom
**Space group**: P1 (1)

Structure (extended XYZ):
```
10
Lattice="7.275 0.001 -0.014 0.583 6.758 0.040 -2.034 -4.036 6.234" Properties=species:S:1:pos:R:3 pbc="T T T"
Os 4.798 -1.174 4.662
La 4.967 2.621 3.388
La 0.881 1.506 0.460
La 2.991 -0.657 2.635
Os 3.059 3.341 1.543
Mg 1.428 2.422 3.607
La -0.562 -1.223 2.809
Mg 3.254 0.686 6.166
La 2.437 -2.455 5.935
La -0.275 0.690 5.857
```

Top of the stability list: (x), leading by 0.036 eV/atom.

(w)
La3MgOs: optimized geometry, PBE.

Values from the calculation:
**DOS(E_F)**: 1.161 states/eV/atom
**Space group**: P1 (1)

Structure (extended XYZ):
```
10
Lattice="-1.511 2.210 -6.387 -6.205 1.780 1.085 3.631 5.980 0.421" Properties=species:S:1:pos:R:3 pbc="T T T"
Os -0.912 3.569 0.476
La -1.149 1.373 -1.804
Mg -5.233 4.120 -3.375
Mg 0.241 4.589 -1.975
La -0.980 6.376 0.408
La 0.207 6.032 -5.055
La -2.289 3.261 -4.650
La -2.674 6.692 -2.912
Os -0.162 7.583 -2.279
La -3.596 3.675 -0.422
```

(x)
La3MgOs: optimized geometry, PBE.

Values from the calculation:
**DOS(E_F)**: 3.208 states/eV/atom
**Space group**: P4mm (99)

Structure (extended XYZ):
```
5
Lattice="-0.457 0.440 4.448 -4.206 -1.555 -0.278 3.084 -8.551 1.163" Properties=species:S:1:pos:R:3 pbc="T T T"
Mg 0.336 -0.932 0.127
La 1.032 -3.275 2.700
La 2.230 -6.184 0.842
Os -0.438 -5.806 2.799
La -0.842 -4.273 0.336
```

(y)
La3MgOs: optimized geometry, PBE.

Values from the calculation:
**DOS(E_F)**: 1.218 states/eV/atom
**Space group**: Cmcm (63)

Structure (extended XYZ):
```
10
Lattice="3.346 -8.695 0.000 3.346 8.695 0.000 0.000 0.000 5.452" Properties=species:S:1:pos:R:3 pbc="T T T"
Os 3.346 -0.049 1.363
Mg 3.346 -5.496 4.089
La 4.837 -2.454 4.089
Os 3.346 0.049 4.089
La 0.000 0.000 0.000
Mg 3.346 5.496 1.363
La 0.000 0.000 2.726
La 1.855 2.454 1.363
La 4.837 2.454 1.363
La 1.855 -2.454 4.089
```

(z)
La3MgOs: optimized geometry, PBE.

Values from the calculation:
**DOS(E_F)**: 0.540 states/eV/atom
**Space group**: C2/m (12)

Structure (extended XYZ):
```
10
Lattice="-6.225 -12.325 -10.303 -1.259 -3.026 -7.865 6.267 2.898 4.993" Properties=species:S:1:pos:R:3 pbc="T T T"
Mg -3.708 -8.587 -11.886
La -2.501 -11.207 -9.665
La -2.167 -6.910 -9.274
La -0.813 -4.456 -7.023
Mg 2.491 -3.866 -1.289
La 0.950 -5.544 -3.901
Os -6.479 -14.155 -16.470
La -0.404 -7.997 -6.152
La 1.284 -1.246 -3.510
Os 5.263 1.702 3.295
```

Top of the stability list: (w), leading by 0.096 eV/atom.

(w)
LaMgOs3: optimized geometry, PBE.

Values from the calculation:
**DOS(E_F)**: 2.423 states/eV/atom
**Space group**: Pm-3m (221)

Structure (extended XYZ):
```
5
Lattice="4.645 0.000 0.000 0.000 4.645 0.000 0.000 0.000 4.645" Properties=species:S:1:pos:R:3 pbc="T T T"
Os 0.000 0.000 2.323
Os 2.323 0.000 0.000
Os 0.000 2.323 0.000
La 2.323 2.323 2.323
Mg 0.000 0.000 0.000
```

(x)
LaMgOs3: optimized geometry, PBE.

Values from the calculation:
**DOS(E_F)**: 1.534 states/eV/atom
**Space group**: Pm-3m (221)

Structure (extended XYZ):
```
5
Lattice="-1.349 4.536 -1.176 -4.681 -1.248 0.556 0.216 1.283 4.700" Properties=species:S:1:pos:R:3 pbc="T T T"
Os 0.108 0.641 2.350
Os -2.341 -0.624 0.278
Os -0.674 2.268 -0.588
La 0.000 0.000 0.000
Mg -2.907 2.285 2.039
```

Top of the stability list: (w), leading by 0.997 eV/atom.

(w)
SrLa2MgOs: optimized geometry, PBE.

Values from the calculation:
**DOS(E_F)**: 0.972 states/eV/atom
**Space group**: P4/mmm (123)

Structure (extended XYZ):
```
5
Lattice="5.574 0.000 0.000 0.000 5.574 0.000 0.000 0.000 5.498" Properties=species:S:1:pos:R:3 pbc="T T T"
Os 0.000 0.000 0.000
La 0.000 2.787 0.000
Sr 2.787 2.787 2.749
La 2.787 0.000 0.000
Mg 0.000 0.000 2.749
```

(x)
SrLa2MgOs: optimized geometry, PBE.

Values from the calculation:
**DOS(E_F)**: 0.752 states/eV/atom
**Space group**: P4/mmm (123)

Structure (extended XYZ):
```
5
Lattice="-1.323 -5.075 -1.744 4.347 0.039 -3.413 3.457 -2.405 4.375" Properties=species:S:1:pos:R:3 pbc="T T T"
Mg 3.240 -3.720 -0.391
La 2.173 0.020 -1.706
La -0.662 -2.537 -0.872
Sr 1.729 -1.202 2.188
Os 0.000 0.000 0.000
```

Top of the stability list: (w), leading by 0.057 eV/atom.

(w)
LaMgP3: optimized geometry, PBE.

Values from the calculation:
**DOS(E_F)**: 1.629 states/eV/atom
**Space group**: Pm-3m (221)

Structure (extended XYZ):
```
5
Lattice="-4.168 -1.533 3.041 -2.561 -1.758 -4.395 2.245 -4.851 0.632" Properties=species:S:1:pos:R:3 pbc="T T T"
Mg -2.242 -4.071 -0.361
P 1.123 -2.425 0.316
P -1.281 -0.879 -2.198
P -2.084 -0.767 1.521
La 0.000 0.000 0.000
```

(x)
LaMgP3: optimized geometry, PBE.

Values from the calculation:
**DOS(E_F)**: 0.738 states/eV/atom
**Space group**: Pm-3m (221)

Structure (extended XYZ):
```
5
Lattice="4.797 0.000 0.000 0.000 4.797 0.000 0.000 0.000 4.797" Properties=species:S:1:pos:R:3 pbc="T T T"
P 2.398 0.000 0.000
P 0.000 0.000 2.398
P 0.000 2.398 0.000
Mg 0.000 0.000 0.000
La 2.398 2.398 2.398
```

Top of the stability list: (x), leading by 0.833 eV/atom.

(w)
La2Mg2Pb: optimized geometry, PBE.

Values from the calculation:
**DOS(E_F)**: 0.920 states/eV/atom
**Space group**: P4/mbm (127)

Structure (extended XYZ):
```
10
Lattice="-4.198 5.820 2.711 -6.385 -3.442 -2.497 -0.456 -2.436 4.524" Properties=species:S:1:pos:R:3 pbc="T T T"
Mg -3.493 3.223 1.384
Mg -2.904 -0.501 -0.563
Mg -7.090 -0.845 -1.170
La -5.201 -2.539 1.049
La -2.695 0.134 2.741
Pb -5.291 1.189 0.107
Pb 0.000 0.000 0.000
Mg -7.678 2.879 0.776
La -5.838 2.481 3.688
La -8.344 -0.191 1.997
```

(x)
La2Mg2Pb: optimized geometry, PBE.

Values from the calculation:
**DOS(E_F)**: 1.058 states/eV/atom
**Space group**: P4/mbm (127)

Structure (extended XYZ):
```
10
Lattice="-6.341 4.141 -5.338 -6.138 -0.475 6.924 1.145 3.360 1.246" Properties=species:S:1:pos:R:3 pbc="T T T"
Mg -7.358 5.148 -1.441
Mg -8.760 3.822 3.424
La -5.376 2.718 -2.388
La -7.104 0.948 3.975
Mg -2.574 3.203 -0.592
La -9.375 3.087 0.291
Pb 0.000 0.000 0.000
Mg -3.976 1.877 4.273
La -3.105 0.578 1.295
Pb -6.240 1.833 0.793
```

Top of the stability list: (w), leading by 0.243 eV/atom.

(w)
LaMg3Pb: optimized geometry, PBE.

Values from the calculation:
**DOS(E_F)**: 1.332 states/eV/atom
**Space group**: Pm-3m (221)

Structure (extended XYZ):
```
5
Lattice="5.891 0.000 0.000 0.000 5.891 0.000 0.000 0.000 5.891" Properties=species:S:1:pos:R:3 pbc="T T T"
Mg 0.000 0.000 2.946
La 0.000 0.000 0.000
Mg 0.000 2.946 0.000
Mg 2.946 0.000 0.000
Pb 2.946 2.946 2.946
```

(x)
LaMg3Pb: optimized geometry, PBE.

Values from the calculation:
**DOS(E_F)**: 0.641 states/eV/atom
**Space group**: Pm-3m (221)

Structure (extended XYZ):
```
5
Lattice="5.465 0.000 0.000 0.000 5.465 0.000 0.000 0.000 5.465" Properties=species:S:1:pos:R:3 pbc="T T T"
La 2.733 2.733 2.733
Mg 0.000 2.733 0.000
Mg 0.000 0.000 2.733
Pb 0.000 0.000 0.000
Mg 2.733 0.000 0.000
```

Top of the stability list: (x), leading by 0.738 eV/atom.

(w)
LaMgPb3: optimized geometry, PBE.

Values from the calculation:
**DOS(E_F)**: 1.689 states/eV/atom
**Space group**: Pm-3m (221)

Structure (extended XYZ):
```
5
Lattice="-1.436 -5.108 -3.099 3.499 -3.303 3.822 -4.843 -0.871 3.680" Properties=species:S:1:pos:R:3 pbc="T T T"
Pb -2.422 -0.436 1.840
Pb 1.749 -1.651 1.911
La 0.000 0.000 0.000
Mg -1.390 -4.641 2.202
Pb -0.718 -2.554 -1.550
```

(x)
LaMgPb3: optimized geometry, PBE.

Values from the calculation:
**DOS(E_F)**: 0.607 states/eV/atom
**Space group**: Pmmn (59)

Structure (extended XYZ):
```
10
Lattice="5.191 0.000 0.000 0.000 7.457 0.000 0.000 0.000 7.863" Properties=species:S:1:pos:R:3 pbc="T T T"
Pb 0.000 5.302 2.354
La 0.000 3.728 6.054
Mg 2.596 3.728 3.364
Mg 0.000 0.000 4.498
Pb 0.000 2.154 2.354
Pb 2.596 3.728 0.454
Pb 0.000 0.000 7.409
La 2.596 0.000 1.809
Pb 2.596 1.574 5.508
Pb 2.596 5.883 5.508
```

Top of the stability list: (x), leading by 0.812 eV/atom.

(w)
LaMgSnPb: optimized geometry, PBE.

Values from the calculation:
**DOS(E_F)**: 0.477 states/eV/atom
**Space group**: Pmmm (47)

Structure (extended XYZ):
```
4
Lattice="-4.255 -1.527 1.010 0.343 -3.334 -3.596 1.903 -3.212 3.160" Properties=species:S:1:pos:R:3 pbc="T T T"
Pb -1.176 -2.370 2.085
Mg 0.000 0.000 0.000
La 1.123 -3.273 -0.218
Sn -1.956 -2.431 -1.293
```

(x)
LaMgSnPb: optimized geometry, PBE.

Values from the calculation:
**DOS(E_F)**: 0.726 states/eV/atom
**Space group**: F-43m (216)

Structure (extended XYZ):
```
4
Lattice="5.435 0.000 0.000 2.718 4.707 0.000 2.718 1.569 4.438" Properties=species:S:1:pos:R:3 pbc="T T T"
Mg 5.435 3.138 2.219
La 0.000 0.000 0.000
Sn 2.718 1.569 1.109
Pb 8.153 4.707 3.328
```

Top of the stability list: (w), leading by 0.141 eV/atom.

(w)
LaMgTlPb: optimized geometry, PBE.

Values from the calculation:
**DOS(E_F)**: 0.737 states/eV/atom
**Space group**: F-43m (216)

Structure (extended XYZ):
```
4
Lattice="5.457 0.000 0.000 2.729 4.726 0.000 2.729 1.575 4.456" Properties=species:S:1:pos:R:3 pbc="T T T"
Tl 0.000 0.000 0.000
Pb 5.457 3.151 2.228
Mg 8.186 4.726 3.342
La 2.729 1.575 1.114
```

(x)
LaMgTlPb: optimized geometry, PBE.

Values from the calculation:
**DOS(E_F)**: 0.439 states/eV/atom
**Space group**: Pmmm (47)

Structure (extended XYZ):
```
4
Lattice="4.629 0.000 0.000 0.000 4.894 0.000 0.000 0.000 5.040" Properties=species:S:1:pos:R:3 pbc="T T T"
Tl 0.000 2.447 2.520
La 2.315 2.447 0.000
Mg 2.315 0.000 2.520
Pb 0.000 0.000 0.000
```

Top of the stability list: (x), leading by 0.078 eV/atom.

(w)
LaMg3Pd: optimized geometry, PBE.

Values from the calculation:
**DOS(E_F)**: 0.554 states/eV/atom
**Space group**: P2_1/m (11)

Structure (extended XYZ):
```
10
Lattice="5.268 0.000 -2.152 0.000 6.020 0.000 -0.117 0.000 7.624" Properties=species:S:1:pos:R:3 pbc="T T T"
Pd 4.562 2.695 4.288
La 1.562 2.695 4.339
Mg 0.882 5.705 2.626
Pd 0.704 5.705 5.384
Mg 3.819 1.159 2.075
Mg 1.565 4.169 -0.026
Mg 1.565 1.220 -0.026
Mg 4.502 2.695 -0.577
Mg 3.819 4.230 2.075
La 3.704 5.705 5.334
```

(x)
LaMg3Pd: optimized geometry, PBE.

Values from the calculation:
**DOS(E_F)**: 1.199 states/eV/atom
**Space group**: Pm-3m (221)

Structure (extended XYZ):
```
5
Lattice="-2.927 2.552 4.593 -5.232 -1.897 -2.281 0.481 -5.106 3.143" Properties=species:S:1:pos:R:3 pbc="T T T"
Mg -2.616 -0.948 -1.141
Pd -3.840 -2.225 2.727
La 0.000 0.000 0.000
Mg -1.464 1.276 2.297
Mg 0.240 -2.553 1.571
```

Top of the stability list: (w), leading by 1.803 eV/atom.